First-principles (GGA-PBE) data for a relaxed structure of TbSm5Th, as listed in Alexandria via LeMat-Bulk.

## Properties
* density: 8.03 Mg/m³
* ΔH_f (0 K): 138 meV/atom
* final energy: -69.36 eV/cell

a = 9.822 Å, b = 6.577 Å, c = 12.033 Å
α = 74.31°, β = 90.00°, γ = 138.30°
Fractional coordinates of all 14 atoms:
Tb (0.502, 0.000, 0.250)
Tb (0.498, 0.000, 0.750)
Sm (0.023, 0.413, 0.165)
Sm (0.764, 0.230, 0.466)
Sm (0.390, 0.413, 0.665)
Sm (0.154, 0.000, 0.250)
Sm (0.533, 0.770, 0.034)
Sm (0.467, 0.230, 0.966)
Sm (0.846, 0.000, 0.750)
Sm (0.610, 0.587, 0.335)
Sm (0.236, 0.770, 0.534)
Sm (0.977, 0.587, 0.835)
Th (0.000, 0.000, 0.000)
Th (0.000, 0.000, 0.500)

First-principles (GGA-PBE) data for a relaxed structure of Pm3Cd4In4, as listed in Alexandria via LeMat-Bulk.

## Properties
* density: 7.78 Mg/m³
* ΔH_f (0 K): -369 meV/atom
* final energy: -32.93 eV/cell

a = 4.760 Å, b = 7.569 Å, c = 9.132 Å
α = 114.48°, β = 105.11°, γ = 90.00°
Fractional coordinates of all 11 atoms:
Pm (0.123, 0.123, 0.247)
Pm (0.877, 0.877, 0.753)
Pm (0.000, 0.500, 0.000)
Cd (0.333, 0.139, 0.666)
Cd (0.667, 0.473, 0.334)
Cd (0.667, 0.861, 0.334)
Cd (0.333, 0.527, 0.666)
In (0.218, 0.718, 0.437)
In (0.782, 0.282, 0.563)
In (0.500, 0.810, 0.000)
In (0.500, 0.190, 0.000)

First-principles (GGA-PBE) data for a relaxed structure of KMgZrCl6, as listed in Alexandria via LeMat-Bulk.

## Properties
* density: 2.28 Mg/m³
* formation energy without anion corrections: -1795.7 meV per atom
* final energy: -76.96 eV/cell

a = 6.697 Å, b = 6.697 Å, c = 13.805 Å
α = 90.00°, β = 90.00°, γ = 120.00°
Fractional coordinates of all 18 atoms:
K (0.000, 0.000, 0.000)
K (0.000, 0.000, 0.500)
Mg (0.333, 0.667, 0.250)
Mg (0.667, 0.333, 0.750)
Zr (0.667, 0.333, 0.250)
Zr (0.333, 0.667, 0.750)
Cl (0.622, 0.627, 0.146)
Cl (0.005, 0.378, 0.146)
Cl (0.378, 0.005, 0.646)
Cl (0.995, 0.622, 0.854)
Cl (0.373, 0.378, 0.354)
Cl (0.005, 0.627, 0.354)
Cl (0.627, 0.005, 0.854)
Cl (0.622, 0.995, 0.354)
Cl (0.995, 0.373, 0.646)
Cl (0.373, 0.995, 0.146)
Cl (0.627, 0.622, 0.646)
Cl (0.378, 0.373, 0.854)

First-principles (GGA-PBE) data for a relaxed structure of Ac2AlCu4, as listed in Alexandria via LeMat-Bulk.

## Properties
* density: 7.17 Mg/m³
* ΔH_f (0 K): 29 meV/atom
* final energy: -28.14 eV/cell

a = 4.622 Å, b = 4.622 Å, c = 8.610 Å
α = 105.57°, β = 105.57°, γ = 90.00°
Fractional coordinates of all 7 atoms:
Ac (0.644, 0.644, 0.288)
Ac (0.356, 0.356, 0.712)
Al (0.000, 0.000, 0.000)
Cu (0.000, 0.500, 0.000)
Cu (0.500, 0.000, 0.000)
Cu (0.848, 0.848, 0.695)
Cu (0.152, 0.152, 0.305)

First-principles (GGA-PBE) data for a relaxed structure of ThGaPt, as listed in Alexandria via LeMat-Bulk.

## Properties
* density: 11.19 Mg/m³
* ΔH_f (0 K): -894 meV/atom
* final energy: -19.17 eV/cell

a = 4.706 Å, b = 4.706 Å, c = 4.706 Å
α = 60.00°, β = 60.00°, γ = 60.00°
Fractional coordinates of all 3 atoms:
Ga (0.000, 0.000, 0.000)
Pt (0.250, 0.250, 0.250)
Th (0.500, 0.500, 0.500)

First-principles (GGA-PBE) data for a relaxed structure of PuPaMnMo, as listed in Alexandria via LeMat-Bulk.

## Properties
* density: 13.19 Mg/m³
* ΔH_f (0 K): 209 meV/atom
* final energy: -42.99 eV/cell

a = 4.812 Å, b = 4.812 Å, c = 4.812 Å
α = 60.00°, β = 60.00°, γ = 60.00°
Fractional coordinates of all 4 atoms:
Mo (0.750, 0.750, 0.750)
Pa (0.000, 0.000, 0.000)
Mn (0.250, 0.250, 0.250)
Pu (0.500, 0.500, 0.500)

First-principles (GGA-PBE) data for a relaxed structure of AgN, as listed in Alexandria via LeMat-Bulk.

## Properties
* density: 6.38 Mg/m³
* formation energy without anion corrections: 1756.0 meV per atom
* final energy: -30.66 eV/cell

a = 5.992 Å, b = 5.992 Å, c = 3.532 Å
α = 90.00°, β = 90.00°, γ = 90.00°
Fractional coordinates of all 8 atoms:
Ag (0.331, 0.331, 0.000)
Ag (0.831, 0.169, 0.500)
Ag (0.169, 0.831, 0.500)
Ag (0.669, 0.669, 0.000)
N (0.304, 0.696, 0.000)
N (0.804, 0.804, 0.500)
N (0.196, 0.196, 0.500)
N (0.696, 0.304, 0.000)

First-principles (GGA-PBE) data for a relaxed structure of Nd2PaO6, as listed in Alexandria via LeMat-Bulk.

## Properties
* density: 6.62 Mg/m³
* formation energy without anion corrections: -3016.8 meV per atom
* final energy: -75.93 eV/cell

a = 4.192 Å, b = 4.192 Å, c = 9.272 Å
α = 103.06°, β = 103.06°, γ = 90.00°
Fractional coordinates of all 9 atoms:
Nd (0.186, 0.186, 0.372)
Nd (0.814, 0.814, 0.628)
Pa (0.500, 0.500, 0.000)
O (0.833, 0.321, 0.154)
O (0.679, 0.679, 0.846)
O (0.321, 0.833, 0.154)
O (0.167, 0.167, 0.846)
O (0.750, 0.250, 0.500)
O (0.250, 0.750, 0.500)

First-principles (GGA-PBE) data for a relaxed structure of TaAlRh3, as listed in Alexandria via LeMat-Bulk.

## Properties
* density: 10.28 Mg/m³
* ΔH_f (0 K): 377 meV/atom
* final energy: -35.76 eV/cell

a = 4.370 Å, b = 4.370 Å, c = 4.370 Å
α = 90.00°, β = 90.00°, γ = 90.00°
Fractional coordinates of all 5 atoms:
Rh (0.000, 0.500, 0.000)
Rh (0.000, 0.000, 0.500)
Rh (0.500, 0.000, 0.000)
Al (0.000, 0.000, 0.000)
Ta (0.500, 0.500, 0.500)

First-principles (GGA-PBE) data for a relaxed structure of La4OsRh, as listed in Alexandria via LeMat-Bulk.

## Properties
* density: 7.06 Mg/m³
* ΔH_f (0 K): -364 meV/atom
* final energy: -40.47 eV/cell

a = 4.346 Å, b = 6.779 Å, c = 6.778 Å
α = 89.43°, β = 90.00°, γ = 90.00°
Fractional coordinates of all 6 atoms:
La (0.500, 0.299, 0.701)
La (0.000, 0.805, 0.805)
La (0.000, 0.195, 0.195)
La (0.500, 0.701, 0.299)
Os (0.500, 0.000, 0.000)
Rh (0.000, 0.500, 0.500)

First-principles (GGA-PBE) data for a relaxed structure of Er2BeGe3, as listed in Alexandria via LeMat-Bulk.

## Properties
* density: 8.21 Mg/m³
* ΔH_f (0 K): -548 meV/atom
* final energy: -29.99 eV/cell

a = 3.974 Å, b = 4.056 Å, c = 7.046 Å
α = 90.00°, β = 90.00°, γ = 90.00°
Fractional coordinates of all 6 atoms:
Er (0.000, 0.500, 0.003)
Er (0.000, 0.000, 0.500)
Be (0.500, 0.500, 0.324)
Ge (0.500, 0.000, 0.840)
Ge (0.500, 0.000, 0.192)
Ge (0.500, 0.500, 0.640)

First-principles (GGA-PBE) data for a relaxed structure of CdTcAu2, as listed in Alexandria via LeMat-Bulk.

## Properties
* density: 13.77 Mg/m³
* ΔH_f (0 K): 357 meV/atom
* final energy: -16.41 eV/cell

a = 5.887 Å, b = 5.887 Å, c = 5.887 Å
α = 152.54°, β = 128.71°, γ = 59.15°
Fractional coordinates of all 4 atoms:
Au (0.987, 0.987, 0.000)
Au (0.513, 0.513, 0.000)
Cd (0.250, 0.750, 0.500)
Tc (0.750, 0.250, 0.500)

The highest final energy belongs to which entry? CdTcAu2

Among the records above, which one has the highest density? CdTcAu2

Look up the final energy of the ninth one. -35.76 eV/cell